No. 1
Entry from the Alexandria database: a relaxed TbPuSc2 crystal (PBE-GGA).

a b c (Å): 7.5407 7.5407 7.5407
angles (deg): 90.00 90.00 90.00
Space group Fm-3m (No. 225)
One atom of each set of equivalent atoms:
Tb (0.0000, 0.0000, 0.0000) (multiplicity 4)
Pu (0.0000, 0.0000, 0.5000) (multiplicity 4)
Sc (0.2500, 0.2500, 0.2500) (multiplicity 8)

Computed properties:
The value obtained for the energy above the most stable polymorph in this dataset is 43 meV/atom. As for the energy of formation from the pure elements: 144 meV per atom. As for the total magnetic moment: 5.747 μB/f.u.

No. 2
Entry from the Alexandria database: a relaxed BePtPb4 crystal (PBE-GGA).

a b c (Å): 8.8429 8.8429 8.8429
angles (deg): 90.00 90.00 90.00
Space group F-43m (No. 216)
One atom of each set of equivalent atoms:
Be (0.0000, 0.0000, 0.0000) (multiplicity 4)
Pt (0.2500, 0.2500, 0.2500) (multiplicity 4)
Pb (0.1248, 0.1248, 0.6248) (multiplicity 16)

Computed properties:
As for the energy of formation from the pure elements: 904 meV per atom. As for the total magnetic moment: 0.000 μB/f.u.

No. 3
Entry from the Alexandria database: a relaxed Hf2TlSi2 crystal (PBE-GGA).

a b c (Å): 7.1491 7.1491 3.6932
angles (deg): 90.00 90.00 90.00
Space group P4/mbm (No. 127)
One atom of each set of equivalent atoms:
Hf (0.1766, 0.3234, 0.0000) (multiplicity 4)
Tl (0.0000, 0.0000, 0.5000) (multiplicity 2)
Si (0.1173, 0.6173, 0.5000) (multiplicity 4)

Computed properties:
The calculation puts the uncorrected formation energy at -0.19 eV per atom. As for the total magnetic moment: 0.000 μB/f.u.

No. 4
Entry from the Alexandria database: a relaxed La2YIr crystal (PBE-GGA).

a b c (Å): 3.8204 5.5045 10.9604
angles (deg): 90.00 90.00 90.00
Space group Immm (No. 71)
One atom of each set of equivalent atoms:
La (0.0000, 0.0000, 0.1947) (multiplicity 4)
Y (0.0000, 0.5000, 0.0000) (multiplicity 2)
Ir (0.0000, 0.5000, 0.5000) (multiplicity 2)

Computed properties:
The value obtained for the energy above the most stable polymorph in this dataset is 100 meV/atom. As for the energy of formation from the pure elements: -395 meV per atom. As for the total magnetic moment: 0.000 μB/f.u.

No. 5
Entry from the Alexandria database: a relaxed CdOs3 crystal (PBE-GGA).

a b c (Å): 5.0274 5.0274 5.0274
angles (deg): 90.00 90.00 90.00
Space group Pm-3n (No. 223)
One atom of each set of equivalent atoms:
Cd (0.0000, 0.0000, 0.0000) (multiplicity 2)
Os (0.0000, 0.2500, 0.5000) (multiplicity 6)

Computed properties:
The value obtained for the energy above the most stable polymorph in this dataset is 802 meV/atom. As for the energy of formation from the pure elements: 1039 meV per atom. As for the total magnetic moment: 0.000 μB/f.u.

No. 6
Entry from the Alexandria database: a relaxed BaPtSe2 crystal (PBE-GGA).

a b c (Å): 5.0513 5.0513 3.8146
angles (deg): 90.00 90.00 90.00
Space group P4/mmm (No. 123)
One atom of each set of equivalent atoms:
Ba (0.0000, 0.0000, 0.0000) (multiplicity 1)
Pt (0.5000, 0.5000, 0.0000) (multiplicity 1)
Se (0.0000, 0.5000, 0.5000) (multiplicity 2)

Computed properties:
The value obtained for the energy above the most stable polymorph in this dataset is 617 meV/atom. The calculation puts the uncorrected formation energy at -0.46 eV per atom. As for the total magnetic moment: 0.000 μB/f.u.

total magnetic moment of number 6 (BaPtSe2)?
0.000 μB/f.u.

What is the total magnetic moment in the second record?
0.000 μB/f.u.

Look up the total magnetic moment of the fourth one.
0.000 μB/f.u.